Here is a geometry-optimized SrNbSbTe2 structure from Alexandria via LeMat-Bulk. Energies are from PBE-GGA.

Computed properties:
energy relative to the lowest polymorph listed for this composition	1468	meV per atom
total magnetic moment	2.6	Bohr magnetons per cell
total DFT energy (no corrections)	-3.35	eV per atom
calculated density	4.46	g cm⁻³

abc: 5.9563 5.9563 5.8448
angles: 90.00 90.00 90.00
Last column: magnetic moment on the atom in μB.
Atoms (fractional coordinates):
Nb 0.5000 0.5000 0.5000  2.81
Te 0.5000 0.0000 0.0000  -0.17
Te 0.0000 0.5000 0.0000  -0.17
Sr 0.0000 0.0000 0.0000  0.00
Sb 0.0000 0.0000 0.5000  -0.16